No. 1
A relaxed Fe2TcSn crystal, computed with GGA-PBE.

Computed properties:
Energy relative to the elements = 0.178 eV per atom
Spin magnetization = 5.9 μB/f.u.
Space group = P4/mmm (123)

a = 3.9185 Å, b = 3.8895 Å, c = 3.8895 Å
α = 90.00°, β = 90.00°, γ = 90.00°
Each line ends with the local moment (μB).
Element x y z (fractional)
Fe1 0.0000 0.0000 0.5000  2.59
Fe2 0.0000 0.5000 0.0000  2.59
Sn1 0.5000 0.5000 0.5000  -0.09
Tc1 0.5000 0.0000 0.0000  0.73

***

No. 2
A relaxed NdPa5C6 crystal, computed with GGA-PBE.

Computed properties:
Energy relative to the elements = -0.384 eV per atom
Spin magnetization = 0.0 μB/f.u.
Space group = C2/m (12)

a = 6.2816 Å, b = 6.2764 Å, c = 6.2772 Å
α = 60.00°, β = 80.46°, γ = 70.64°
Element x y z (fractional)
C1 0.7366 0.0868 0.3567
C2 0.2634 0.5565 0.3567
C3 0.2545 0.2761 0.0000
C4 0.7455 0.7239 0.0000
C5 0.7366 0.4435 0.6433
C6 0.2634 0.9132 0.6433
Pa1 0.5000 0.1649 0.6702
Pa2 0.0000 0.3326 0.3349
Pa3 0.5000 0.5000 0.0000
Pa4 0.0000 0.6674 0.6651
Pa5 0.5000 0.8351 0.3298
Nd1 0.0000 0.0000 0.0000

***

No. 3
A relaxed SrLa3 crystal, computed with GGA-PBE.

Computed properties:
Energy relative to the elements = 0.064 eV per atom
Spin magnetization = 0.0 μB/f.u.
Space group = P4/mmm (123)

a = 3.7973 Å, b = 3.7973 Å, c = 11.1342 Å
α = 90.00°, β = 90.00°, γ = 90.00°
Element x y z (fractional)
Sr1 0.5000 0.5000 0.7500
La1 0.0000 0.0000 0.0273
La2 0.5000 0.5000 0.2500
La3 0.0000 0.0000 0.4727